No. 1
Below is an optimized crystal structure of YZnPb2, with properties calculated at the PBE level.

a = 9.5948 Å, b = 9.5948 Å, c = 9.5948 Å
α = 22.11°, β = 22.11°, γ = 22.11°
Positions (direct):
Y 0.0000 0.0000 0.0000
Zn 0.5000 0.5000 0.5000
Pb 0.2405 0.2405 0.2405
Pb 0.7595 0.7595 0.7595

Computed properties:
For the formation enthalpy at 0 K, the calculation gives -0.04 eV/atom. Its space-group type is R-3m. As for the density: 8.6 g/cm3. The total magnetization comes out at 0.000 Bohr magnetons per cell.

***

No. 2
Below is an optimized crystal structure of YZn2Pb, with properties calculated at the PBE level.

a = 3.5665 Å, b = 3.5665 Å, c = 7.2876 Å
α = 90.00°, β = 90.00°, γ = 90.00°
Positions (direct):
Y 0.0000 0.0000 0.0000
Zn 0.5000 0.5000 0.2469
Zn 0.5000 0.5000 0.7531
Pb 0.0000 0.0000 0.5000

Computed properties:
For the formation enthalpy at 0 K, the calculation gives -0.13 eV/atom. Its space-group type is P4/mmm. As for the density: 7.6 g/cm3. The total magnetization comes out at 0.255 Bohr magnetons per cell.

***

No. 3
Below is an optimized crystal structure of Y2ZnPb, with properties calculated at the PBE level.

a = 7.0075 Å, b = 7.0075 Å, c = 7.0075 Å
α = 150.90°, β = 132.11°, γ = 57.02°
Positions (direct):
Y 0.2360 0.2360 0.0000
Y 0.7640 0.7640 0.0000
Zn 0.0000 0.0000 0.0000
Pb 0.5000 0.5000 0.0000

Computed properties:
For the formation enthalpy at 0 K, the calculation gives 0.29 eV/atom. Its space-group type is Immm. As for the density: 6.1 g/cm3. The total magnetization comes out at 0.000 Bohr magnetons per cell.

***

What did the first record say?
Below is an optimized crystal structure of YZnPb2, with properties calculated at the PBE level.

a = 9.5948 Å, b = 9.5948 Å, c = 9.5948 Å
α = 22.11°, β = 22.11°, γ = 22.11°
Positions (direct):
Y 0.0000 0.0000 0.0000
Zn 0.5000 0.5000 0.5000
Pb 0.2405 0.2405 0.2405
Pb 0.7595 0.7595 0.7595

Computed properties:
For the formation enthalpy at 0 K, the calculation gives -0.04 eV/atom. Its space-group type is R-3m. As for the density: 8.6 g/cm3. The total magnetization comes out at 0.000 Bohr magnetons per cell.